(1)
The following is a PBE calculation of a relaxed structure of As3Se2, from Alexandria.

Results
The value obtained for the formation energy without anion corrections is -0.015 eV per atom. The crystal system is trigonal.

Cell and atoms, written as extended XYZ:
```
5
Lattice="-4.917 0.441 7.841 -1.872 -1.509 8.948 -1.752 2.267 8.811" Properties=species:S:1:pos:R:3 pbc="T T T"
Se -5.187 0.728 15.549
Se -3.353 0.471 10.050
As 0.000 0.000 0.000
As -6.905 0.969 20.698
As -1.635 0.229 4.901
```

=====

(2)
The following is a PBE calculation of a relaxed structure of As5Se, from Alexandria.

Results
The value obtained for the formation energy without anion corrections is 0.461 eV per atom. As for the excess energy over the best structure of this formula in the dataset: 35.88 kJ/mol of atoms. The crystal system is tetragonal.

Cell and atoms, written as extended XYZ:
```
6
Lattice="-2.197 1.601 0.321 -1.299 -2.039 1.284 6.099 5.404 14.758" Properties=species:S:1:pos:R:3 pbc="T T T"
As 3.050 2.702 7.379
As 2.256 3.328 10.490
As 1.210 1.072 2.928
As 4.889 4.332 11.830
As 0.348 1.638 5.873
Se -1.748 -0.219 0.803
```

=====

(3)
The following is a PBE calculation of a relaxed structure of AsSe, from Alexandria.

Results
The value obtained for the formation energy without anion corrections is 0.179 eV per atom. The crystal system is tetragonal.

Cell and atoms, written as extended XYZ:
```
4
Lattice="3.440 0.000 0.000 0.000 3.440 0.000 0.000 0.000 9.090" Properties=species:S:1:pos:R:3 pbc="T T T"
As 1.720 1.720 2.644
As 0.000 0.000 8.719
Se 0.000 0.000 3.695
Se 1.720 1.720 7.667
```

=====

(4)
The following is a PBE calculation of a relaxed structure of AsSe, from Alexandria.

Results
The value obtained for the formation energy without anion corrections is 0.104 eV per atom. The crystal system is cubic.

Cell and atoms, written as extended XYZ:
```
2
Lattice="-3.253 2.245 -0.117 -3.566 -1.665 0.378 -2.117 0.586 3.287" Properties=species:S:1:pos:R:3 pbc="T T T"
Se -4.468 0.583 1.774
As 0.000 0.000 0.000
```

=====

Number 1: calculated volume 22.30 A^3/atom. Number 2: calculated volume 21.06 A^3/atom. Number 3: calculated volume 26.89 A^3/atom. Number 4: calculated volume 21.85 A^3/atom.